# 1
Density functional theory data (meta-GGA SCAN) for a PBEsol-optimized structure of Sr4Zn3Si5.

Output
Uncorrected energy (eV per atom): -15.420
Space-group type: P-6m2, No. 187
Density of states at the Fermi level (states/eV/cell): 3.42

Lattice parameters (Å, degrees): 4.198 4.198 18.031 90.00 90.00 120.00
Atoms (fractional coordinates):
Sr: 0.000 0.000 0.125
Sr: 0.000 0.000 0.374
Sr: 0.000 0.000 0.626
Sr: 0.000 0.000 0.875
Zn: 0.333 0.667 0.251
Zn: 0.333 0.667 0.749
Zn: 0.667 0.333 0.000
Si: 0.333 0.667 0.000
Si: 0.333 0.667 0.500
Si: 0.667 0.333 0.249
Si: 0.667 0.333 0.500
Si: 0.667 0.333 0.751

---

# 2
Density functional theory data (meta-GGA SCAN) for a PBEsol-optimized structure of Sr2Zn5Si3.

Output
Uncorrected energy (eV per atom): -14.557
Space-group type: P4mm, No. 99
Density of states at the Fermi level (states/eV/cell): 2.47

Lattice parameters (Å, degrees): 4.202 4.202 10.514 90.00 90.00 90.00
Atoms (fractional coordinates):
Sr: 0.000 0.000 0.000
Sr: 0.500 0.500 0.493
Zn: 0.000 0.000 0.613
Zn: 0.000 0.500 0.245
Zn: 0.000 0.500 0.750
Zn: 0.500 0.000 0.245
Zn: 0.500 0.000 0.750
Si: 0.000 0.000 0.379
Si: 0.500 0.500 0.111
Si: 0.500 0.500 0.883

---

# 3
Density functional theory data (meta-GGA SCAN) for a PBEsol-optimized structure of SrZnSi.

Output
Uncorrected energy (eV per atom): -15.757
Space-group type: P6_3/mmc, No. 194
Density of states at the Fermi level (states/eV/cell): 0.93

Lattice parameters (Å, degrees): 4.239 4.239 8.922 90.00 90.00 120.00
Atoms (fractional coordinates):
Sr: 0.000 0.000 0.000
Sr: 0.000 0.000 0.500
Zn: 0.333 0.667 0.250
Zn: 0.667 0.333 0.750
Si: 0.333 0.667 0.750
Si: 0.667 0.333 0.250

---

# 4
Density functional theory data (meta-GGA SCAN) for a PBEsol-optimized structure of SrZnSi.

Output
Uncorrected energy (eV per atom): -15.736
Space-group type: P-6m2, No. 187
Density of states at the Fermi level (states/eV/cell): 0.99

Lattice parameters (Å, degrees): 4.193 4.193 4.585 90.00 90.00 120.00
Atoms (fractional coordinates):
Sr: 0.000 0.000 0.000
Zn: 0.333 0.667 0.500
Si: 0.667 0.333 0.500

---

# 5
Density functional theory data (meta-GGA SCAN) for a PBEsol-optimized structure of SrZr2Si.

Output
Uncorrected energy (eV per atom): -23.330
Space-group type: Cm, No. 8
Density of states at the Fermi level (states/eV/cell): 2.65

Lattice parameters (Å, degrees): 4.993 4.993 6.378 102.49 102.49 42.11
Atoms (fractional coordinates):
Sr: 0.000 0.000 0.000
Zr: 0.206 0.206 0.631
Zr: 0.456 0.456 0.451
Si: 0.732 0.732 0.323

---

# 6
Density functional theory data (meta-GGA SCAN) for a PBEsol-optimized structure of Sr2ZrSi.

Output
Uncorrected energy (eV per atom): -21.449
Space-group type: Immm, No. 71
Density of states at the Fermi level (states/eV/cell): 3.06

Lattice parameters (Å, degrees): 9.477 9.477 9.477 157.50 156.26 32.93
Atoms (fractional coordinates):
Sr: 0.157 0.157 0.000
Sr: 0.843 0.843 0.000
Zr: 0.500 0.000 0.500
Si: 0.000 0.500 0.500

---

# 7
Density functional theory data (meta-GGA SCAN) for a PBEsol-optimized structure of SrZrSi.

Output
Uncorrected energy (eV per atom): -20.409
Space-group type: F-43m, No. 216
Density of states at the Fermi level (states/eV/cell): 1.94

Lattice parameters (Å, degrees): 4.784 4.784 4.784 60.00 60.00 60.00
Atoms (fractional coordinates):
Sr: 0.000 0.000 0.000
Zr: 0.750 0.750 0.750
Si: 0.500 0.500 0.500

---

# 8
Density functional theory data (meta-GGA SCAN) for a PBEsol-optimized structure of SrZr2Si.

Output
Uncorrected energy (eV per atom): -23.196
Space-group type: I4/mmm, No. 139
Density of states at the Fermi level (states/eV/cell): 2.71

Lattice parameters (Å, degrees): 5.381 5.381 5.381 131.29 131.29 71.36
Atoms (fractional coordinates):
Sr: 0.000 0.000 0.000
Zr: 0.250 0.750 0.500
Zr: 0.750 0.250 0.500
Si: 0.500 0.500 0.000

---

# 9
Density functional theory data (meta-GGA SCAN) for a PBEsol-optimized structure of SrZrSi.

Output
Uncorrected energy (eV per atom): -19.814
Space-group type: F-43m, No. 216
Density of states at the Fermi level (states/eV/cell): 5.50

Lattice parameters (Å, degrees): 4.896 4.896 4.896 60.00 60.00 60.00
Atoms (fractional coordinates):
Sr: 0.000 0.000 0.000
Zr: 0.750 0.750 0.750
Si: 0.250 0.250 0.250

---

# 10
Density functional theory data (meta-GGA SCAN) for a PBEsol-optimized structure of Ta3Si.

Output
Uncorrected energy (eV per atom): -52.857
Space-group type: P4_2/n, No. 86
Density of states at the Fermi level (states/eV/cell): 19.23

Lattice parameters (Å, degrees): 10.122 10.122 5.157 90.00 90.00 90.00
Atoms (fractional coordinates):
Ta: 0.037 0.938 0.237
Ta: 0.062 0.537 0.737
Ta: 0.104 0.268 0.025
Ta: 0.150 0.836 0.720
Ta: 0.164 0.650 0.220
Ta: 0.232 0.104 0.475
Ta: 0.268 0.396 0.475
Ta: 0.336 0.850 0.220
Ta: 0.350 0.664 0.720
Ta: 0.396 0.232 0.025
Ta: 0.438 0.963 0.737
Ta: 0.463 0.562 0.237
Ta: 0.537 0.438 0.763
Ta: 0.562 0.037 0.263
Ta: 0.604 0.768 0.975
Ta: 0.650 0.336 0.280
Ta: 0.664 0.150 0.780
Ta: 0.732 0.604 0.525
Ta: 0.768 0.896 0.525
Ta: 0.836 0.350 0.780
Ta: 0.850 0.164 0.280
Ta: 0.896 0.732 0.975
Ta: 0.938 0.463 0.263
Ta: 0.963 0.062 0.763
Si: 0.045 0.280 0.531
Si: 0.220 0.045 0.969
Si: 0.280 0.455 0.969
Si: 0.455 0.220 0.531
Si: 0.545 0.780 0.469
Si: 0.720 0.545 0.031
Si: 0.780 0.955 0.031
Si: 0.955 0.720 0.469

---

# 11
Density functional theory data (meta-GGA SCAN) for a PBEsol-optimized structure of TaSi3.

Output
Uncorrected energy (eV per atom): -23.923
Space-group type: Cmmm, No. 65
Density of states at the Fermi level (states/eV/cell): 1.38

Lattice parameters (Å, degrees): 2.827 2.827 7.625 90.00 90.00 103.40
Atoms (fractional coordinates):
Ta: 0.000 0.000 0.000
Si: 0.000 0.000 0.500
Si: 0.500 0.500 0.254
Si: 0.500 0.500 0.746

---

# 12
Density functional theory data (meta-GGA SCAN) for a PBEsol-optimized structure of TaSi7.

Output
Uncorrected energy (eV per atom): -16.671
Space-group type: Fm-3m, No. 225
Density of states at the Fermi level (states/eV/cell): 2.77

Lattice parameters (Å, degrees): 5.425 5.425 5.425 60.00 60.00 60.00
Atoms (fractional coordinates):
Ta: 0.000 0.000 0.000
Si: 0.000 0.000 0.500
Si: 0.000 0.500 0.000
Si: 0.000 0.500 0.500
Si: 0.500 0.000 0.000
Si: 0.500 0.000 0.500
Si: 0.500 0.500 0.000
Si: 0.500 0.500 0.500

---

# 13
Density functional theory data (meta-GGA SCAN) for a PBEsol-optimized structure of Ta3Si.

Output
Uncorrected energy (eV per atom): -52.312
Space-group type: R-3m, No. 166
Density of states at the Fermi level (states/eV/cell): 3.19

Lattice parameters (Å, degrees): 9.522 9.522 9.522 17.43 17.43 17.43
Atoms (fractional coordinates):
Ta: 0.000 0.000 0.000
Ta: 0.244 0.244 0.244
Ta: 0.756 0.756 0.756
Si: 0.500 0.500 0.500

---

# 14
Density functional theory data (meta-GGA SCAN) for a PBEsol-optimized structure of Ta2Si.

Output
Uncorrected energy (eV per atom): -48.255
Space-group type: I4/mcm, No. 140
Density of states at the Fermi level (states/eV/cell): 3.07

Lattice parameters (Å, degrees): 5.015 5.015 5.015 104.63 104.63 119.65
Atoms (fractional coordinates):
Ta: 0.163 0.663 0.826
Ta: 0.337 0.163 0.500
Ta: 0.663 0.837 0.500
Ta: 0.837 0.337 0.174
Si: 0.250 0.250 0.000
Si: 0.750 0.750 0.000

---

# 15
Density functional theory data (meta-GGA SCAN) for a PBEsol-optimized structure of Ta3Si.

Output
Uncorrected energy (eV per atom): -52.775
Space-group type: Pnma, No. 62
Density of states at the Fermi level (states/eV/cell): 6.56

Lattice parameters (Å, degrees): 6.053 8.238 5.320 90.00 90.00 90.00
Atoms (fractional coordinates):
Ta: 0.019 0.250 0.127
Ta: 0.213 0.036 0.625
Ta: 0.213 0.464 0.625
Ta: 0.287 0.536 0.125
Ta: 0.287 0.964 0.125
Ta: 0.481 0.750 0.627
Ta: 0.519 0.250 0.373
Ta: 0.713 0.036 0.875
Ta: 0.713 0.464 0.875
Ta: 0.787 0.536 0.375
Ta: 0.787 0.964 0.375
Ta: 0.981 0.750 0.873
Si: 0.097 0.750 0.402
Si: 0.403 0.250 0.902
Si: 0.597 0.750 0.098
Si: 0.903 0.250 0.598

---

# 16
Density functional theory data (meta-GGA SCAN) for a PBEsol-optimized structure of TaSi3.

Output
Uncorrected energy (eV per atom): -23.870
Space-group type: P4/mmm, No. 123
Density of states at the Fermi level (states/eV/cell): 1.92

Lattice parameters (Å, degrees): 2.793 2.793 7.526 90.00 90.00 90.00
Atoms (fractional coordinates):
Ta: 0.000 0.000 0.000
Si: 0.000 0.000 0.500
Si: 0.500 0.500 0.256
Si: 0.500 0.500 0.744

---

# 17
Density functional theory data (meta-GGA SCAN) for a PBEsol-optimized structure of Ta3Si.

Output
Uncorrected energy (eV per atom): -52.602
Space-group type: Pm-3m, No. 221
Density of states at the Fermi level (states/eV/cell): 4.59

Lattice parameters (Å, degrees): 4.036 4.036 4.036 90.00 90.00 90.00
Atoms (fractional coordinates):
Ta: 0.000 0.000 0.500
Ta: 0.000 0.500 0.000
Ta: 0.500 0.000 0.000
Si: 0.500 0.500 0.500

---

# 18
Density functional theory data (meta-GGA SCAN) for a PBEsol-optimized structure of Ta2Si2Tc.

Output
Uncorrected energy (eV per atom): -38.127
Space-group type: P4/mbm, No. 127
Density of states at the Fermi level (states/eV/cell): 6.23

Lattice parameters (Å, degrees): 6.240 6.240 3.821 90.00 90.00 90.00
Atoms (fractional coordinates):
Ta: 0.165 0.335 0.000
Ta: 0.335 0.835 0.000
Ta: 0.665 0.165 0.000
Ta: 0.835 0.665 0.000
Si: 0.137 0.637 0.500
Si: 0.363 0.137 0.500
Si: 0.637 0.863 0.500
Si: 0.863 0.363 0.500
Tc: 0.000 0.000 0.500
Tc: 0.500 0.500 0.500

---

# 19
Density functional theory data (meta-GGA SCAN) for a PBEsol-optimized structure of TaSiTc.

Output
Uncorrected energy (eV per atom): -37.232
Space-group type: F-43m, No. 216
Density of states at the Fermi level (states/eV/cell): 3.63

Lattice parameters (Å, degrees): 4.179 4.179 4.179 60.00 60.00 60.00
Atoms (fractional coordinates):
Ta: 0.000 0.000 0.000
Si: 0.500 0.500 0.500
Tc: 0.250 0.250 0.250

---

# 20
Density functional theory data (meta-GGA SCAN) for a PBEsol-optimized structure of Ta3SiTe6.

Output
Uncorrected energy (eV per atom): -43.694
Space-group type: Pnma, No. 62
Density of states at the Fermi level (states/eV/cell): 15.68

Lattice parameters (Å, degrees): 6.314 13.982 11.380 90.00 90.00 90.00
Atoms (fractional coordinates):
Ta: 0.032 0.250 0.188
Ta: 0.169 0.750 0.334
Ta: 0.195 0.750 0.035
Ta: 0.305 0.250 0.535
Ta: 0.331 0.250 0.834
Ta: 0.468 0.750 0.688
Ta: 0.532 0.250 0.312
Ta: 0.669 0.750 0.166
Ta: 0.695 0.750 0.465
Ta: 0.805 0.250 0.965
Ta: 0.831 0.250 0.666
Ta: 0.968 0.750 0.812
Si: 0.075 0.750 0.575
Si: 0.425 0.250 0.075
Si: 0.575 0.750 0.925
Si: 0.925 0.250 0.425
Te: 0.146 0.120 0.997
Te: 0.146 0.380 0.997
Te: 0.150 0.113 0.682
Te: 0.150 0.387 0.682
Te: 0.204 0.116 0.345
Te: 0.204 0.384 0.345
Te: 0.296 0.616 0.845
Te: 0.296 0.884 0.845
Te: 0.350 0.613 0.182
Te: 0.350 0.887 0.182
Te: 0.354 0.620 0.497
Te: 0.354 0.880 0.497
Te: 0.646 0.120 0.503
Te: 0.646 0.380 0.503
Te: 0.650 0.113 0.818
Te: 0.650 0.387 0.818
Te: 0.704 0.116 0.155
Te: 0.704 0.384 0.155
Te: 0.796 0.616 0.655
Te: 0.796 0.884 0.655
Te: 0.850 0.613 0.318
Te: 0.850 0.887 0.318
Te: 0.854 0.620 0.003
Te: 0.854 0.880 0.003